# 1
# Tb4DyP5 GGA-PBE relaxed
# V (Å³/cell): 230.5
# Formation energy from the elements (meV per atom): -1614
# Space group: I4/m
data_Tb4DyP5
_cell_length_a 5.691
_cell_length_b 6.971
_cell_length_c 6.971
_cell_angle_alpha 80.41
_cell_angle_beta 65.91
_cell_angle_gamma 65.91
_symmetry_space_group_name_H-M 'P 1'
_symmetry_Int_Tables_number 1
_symmetry_space_group_name_Hall 'P 1'
loop_
_atom_site_label
_atom_site_type_symbol
_atom_site_fract_x
_atom_site_fract_y
_atom_site_fract_z
Tb1 Tb 0.401 0.400 0.800
Tb2 Tb 0.801 0.800 0.600
Tb3 Tb 0.201 0.200 0.400
Tb4 Tb 0.601 0.600 0.200
Dy1 Dy 0.001 0.000 0.000
P1 P 0.901 0.399 0.800
P2 P 0.300 0.800 0.601
P3 P 0.702 0.200 0.399
P4 P 0.101 0.601 0.200
P5 P 0.501 0.000 0.000

# 2
# TbDy4P5 GGA-PBE relaxed
# V (Å³/cell): 228.3
# Formation energy from the elements (meV per atom): -1616
# Space group: I4/m
data_TbDy4P5
_cell_length_a 5.673
_cell_length_b 6.949
_cell_length_c 6.949
_cell_angle_alpha 80.41
_cell_angle_beta 65.91
_cell_angle_gamma 65.91
_symmetry_space_group_name_H-M 'P 1'
_symmetry_Int_Tables_number 1
_symmetry_space_group_name_Hall 'P 1'
loop_
_atom_site_label
_atom_site_type_symbol
_atom_site_fract_x
_atom_site_fract_y
_atom_site_fract_z
Tb1 Tb 0.001 0.000 0.000
Dy1 Dy 0.401 0.400 0.800
Dy2 Dy 0.801 0.800 0.600
Dy3 Dy 0.201 0.200 0.400
Dy4 Dy 0.601 0.600 0.200
P1 P 0.901 0.401 0.800
P2 P 0.302 0.800 0.599
P3 P 0.700 0.200 0.401
P4 P 0.101 0.599 0.200
P5 P 0.501 0.000 0.000

# 3
# Tb5DyP6 GGA-PBE relaxed
# V (Å³/cell): 276.7
# Formation energy from the elements (meV per atom): -1614
# Space group: C2/m
data_Tb5DyP6
_cell_length_a 6.971
_cell_length_b 6.973
_cell_length_c 6.971
_cell_angle_alpha 59.99
_cell_angle_beta 80.40
_cell_angle_gamma 70.52
_symmetry_space_group_name_H-M 'P 1'
_symmetry_Int_Tables_number 1
_symmetry_space_group_name_Hall 'P 1'
loop_
_atom_site_label
_atom_site_type_symbol
_atom_site_fract_x
_atom_site_fract_y
_atom_site_fract_z
P1 P 0.750 0.083 0.333
P2 P 0.250 0.584 0.333
P3 P 0.250 0.249 0.000
P4 P 0.750 0.751 0.000
P5 P 0.750 0.416 0.667
P6 P 0.250 0.917 0.667
Tb1 Tb 0.500 0.167 0.666
Tb2 Tb 0.000 0.333 0.333
Tb3 Tb 0.500 0.500 0.000
Tb4 Tb 0.000 0.667 0.667
Tb5 Tb 0.500 0.833 0.334
Dy1 Dy 0.000 0.000 0.000

# 4
# TbDyTh2P4 GGA-PBE relaxed
# V (Å³/cell): 192.3
# Formation energy from the elements (meV per atom): -1587
# Space group: P2/m
data_TbDyTh2P4
_cell_length_a 4.093
_cell_length_b 7.037
_cell_length_c 7.091
_cell_angle_alpha 70.31
_cell_angle_beta 90.00
_cell_angle_gamma 90.00
_symmetry_space_group_name_H-M 'P 1'
_symmetry_Int_Tables_number 1
_symmetry_space_group_name_Hall 'P 1'
loop_
_atom_site_label
_atom_site_type_symbol
_atom_site_fract_x
_atom_site_fract_y
_atom_site_fract_z
Tb1 Tb 0.500 0.500 0.000
Dy1 Dy 0.000 0.500 0.500
Th1 Th 0.000 0.000 0.000
Th2 Th 0.500 0.000 0.500
P1 P 0.000 0.744 0.752
P2 P 0.000 0.256 0.248
P3 P 0.500 0.743 0.253
P4 P 0.500 0.257 0.747

# 5
# TbDy3Th2P6 GGA-PBE relaxed
# V (Å³/cell): 283.8
# Formation energy from the elements (meV per atom): -1603
# Space group: C2/m
data_TbDy3Th2P6
_cell_length_a 4.068
_cell_length_b 8.102
_cell_length_c 9.071
_cell_angle_alpha 102.78
_cell_angle_beta 102.96
_cell_angle_gamma 90.00
_symmetry_space_group_name_H-M 'P 1'
_symmetry_Int_Tables_number 1
_symmetry_space_group_name_Hall 'P 1'
loop_
_atom_site_label
_atom_site_type_symbol
_atom_site_fract_x
_atom_site_fract_y
_atom_site_fract_z
Tb1 Tb 0.500 0.000 0.000
Dy1 Dy 0.500 0.500 0.000
Dy2 Dy 0.834 0.166 0.668
Dy3 Dy 0.166 0.834 0.332
Th1 Th 0.835 0.670 0.670
Th2 Th 0.165 0.330 0.330
P1 P 0.333 0.922 0.666
P2 P 0.665 0.587 0.331
P3 P 0.667 0.078 0.334
P4 P 0.998 0.250 0.997
P5 P 0.002 0.750 0.003
P6 P 0.335 0.413 0.669

# 6
# TbDy3Tm2P6 GGA-PBE relaxed
# V (Å³/cell): 269.7
# Formation energy from the elements (meV per atom): -1610
# Space group: C2/m
data_TbDy3Tm2P6
_cell_length_a 6.912
_cell_length_b 6.912
_cell_length_c 6.913
_cell_angle_alpha 99.59
_cell_angle_beta 99.59
_cell_angle_gamma 119.99
_symmetry_space_group_name_H-M 'P 1'
_symmetry_Int_Tables_number 1
_symmetry_space_group_name_Hall 'P 1'
loop_
_atom_site_label
_atom_site_type_symbol
_atom_site_fract_x
_atom_site_fract_y
_atom_site_fract_z
Tb1 Tb 0.000 0.000 0.000
Dy1 Dy 0.166 0.834 0.500
Dy2 Dy 0.834 0.166 0.500
Dy3 Dy 0.500 0.500 0.500
Tm1 Tm 0.333 0.667 0.000
Tm2 Tm 0.667 0.333 0.000
P1 P 0.917 0.581 0.752
P2 P 0.747 0.747 0.248
P3 P 0.083 0.419 0.248
P4 P 0.581 0.917 0.752
P5 P 0.253 0.253 0.752
P6 P 0.419 0.083 0.248

# 7
# Tb2DyUP4 GGA-PBE relaxed
# V (Å³/cell): 179.8
# Formation energy from the elements (meV per atom): -1453
# Space group: P2/m
data_Tb2DyUP4
_cell_length_a 3.982
_cell_length_b 6.913
_cell_length_c 6.917
_cell_angle_alpha 109.23
_cell_angle_beta 90.00
_cell_angle_gamma 90.00
_symmetry_space_group_name_H-M 'P 1'
_symmetry_Int_Tables_number 1
_symmetry_space_group_name_Hall 'P 1'
loop_
_atom_site_label
_atom_site_type_symbol
_atom_site_fract_x
_atom_site_fract_y
_atom_site_fract_z
Tb1 Tb 0.500 0.000 0.500
Tb2 Tb 0.000 0.500 0.500
Dy1 Dy 0.000 0.000 0.000
U1 U 0.500 0.500 0.000
P1 P 0.500 0.254 0.244
P2 P 0.500 0.746 0.756
P3 P 0.000 0.255 0.756
P4 P 0.000 0.745 0.244

# 8
# TbDy2Y3P6 GGA-PBE relaxed
# V (Å³/cell): 274.4
# Formation energy from the elements (meV per atom): -1621
# Space group: C2/m
data_TbDy2Y3P6
_cell_length_a 6.952
_cell_length_b 6.952
_cell_length_c 6.953
_cell_angle_alpha 99.58
_cell_angle_beta 99.58
_cell_angle_gamma 119.99
_symmetry_space_group_name_H-M 'P 1'
_symmetry_Int_Tables_number 1
_symmetry_space_group_name_Hall 'P 1'
loop_
_atom_site_label
_atom_site_type_symbol
_atom_site_fract_x
_atom_site_fract_y
_atom_site_fract_z
Tb1 Tb 0.000 0.000 0.000
Dy1 Dy 0.333 0.667 0.000
Dy2 Dy 0.667 0.333 0.000
Y1 Y 0.167 0.833 0.500
Y2 Y 0.833 0.167 0.500
Y3 Y 0.500 0.500 0.500
P1 P 0.917 0.583 0.750
P2 P 0.749 0.749 0.250
P3 P 0.083 0.417 0.250
P4 P 0.583 0.917 0.750
P5 P 0.251 0.251 0.750
P6 P 0.417 0.083 0.250

# 9
# TbDy2YP4 GGA-PBE relaxed
# V (Å³/cell): 182.9
# Formation energy from the elements (meV per atom): -1618
# Space group: P2/m
data_TbDy2YP4
_cell_length_a 4.015
_cell_length_b 6.951
_cell_length_c 6.952
_cell_angle_alpha 109.46
_cell_angle_beta 90.00
_cell_angle_gamma 90.00
_symmetry_space_group_name_H-M 'P 1'
_symmetry_Int_Tables_number 1
_symmetry_space_group_name_Hall 'P 1'
loop_
_atom_site_label
_atom_site_type_symbol
_atom_site_fract_x
_atom_site_fract_y
_atom_site_fract_z
Tb1 Tb 0.500 0.500 0.000
Dy1 Dy 0.500 0.000 0.500
Dy2 Dy 0.000 0.500 0.500
Y1 Y 0.000 0.000 0.000
P1 P 0.500 0.250 0.251
P2 P 0.500 0.750 0.749
P3 P 0.000 0.249 0.749
P4 P 0.000 0.751 0.251

# 10
# TbDyY2P4 GGA-PBE relaxed
# V (Å³/cell): 183.2
# Formation energy from the elements (meV per atom): -1622
# Space group: P2/m
data_TbDyY2P4
_cell_length_a 4.017
_cell_length_b 6.955
_cell_length_c 6.955
_cell_angle_alpha 109.46
_cell_angle_beta 90.00
_cell_angle_gamma 90.00
_symmetry_space_group_name_H-M 'P 1'
_symmetry_Int_Tables_number 1
_symmetry_space_group_name_Hall 'P 1'
loop_
_atom_site_label
_atom_site_type_symbol
_atom_site_fract_x
_atom_site_fract_y
_atom_site_fract_z
Tb1 Tb 0.500 0.500 0.000
Dy1 Dy 0.000 0.000 0.000
Y1 Y 0.500 0.000 0.500
Y2 Y 0.000 0.500 0.500
P1 P 0.500 0.249 0.250
P2 P 0.500 0.751 0.750
P3 P 0.000 0.249 0.750
P4 P 0.000 0.751 0.250

# 11
# TbDyZr2P4 GGA-PBE relaxed
# V (Å³/cell): 163.9
# Formation energy from the elements (meV per atom): -1483
# Space group: P2/m
data_TbDyZr2P4
_cell_length_a 3.850
_cell_length_b 6.676
_cell_length_c 6.755
_cell_angle_alpha 109.28
_cell_angle_beta 90.00
_cell_angle_gamma 90.00
_symmetry_space_group_name_H-M 'P 1'
_symmetry_Int_Tables_number 1
_symmetry_space_group_name_Hall 'P 1'
loop_
_atom_site_label
_atom_site_type_symbol
_atom_site_fract_x
_atom_site_fract_y
_atom_site_fract_z
Tb1 Tb 0.500 0.500 0.000
Dy1 Dy 0.000 0.000 0.000
Zr1 Zr 0.500 0.000 0.500
Zr2 Zr 0.000 0.500 0.500
P1 P 0.500 0.254 0.265
P2 P 0.500 0.746 0.735
P3 P 0.000 0.244 0.735
P4 P 0.000 0.756 0.265